1 | # Ag6Sn2Hg (GGA-PBE, relaxed)
# Fermi-level density of states: 2.58 states/eV/f.u.
data_Ag6Sn2Hg
_cell_length_a 9.014
_cell_length_b 9.014
_cell_length_c 4.424
_cell_angle_alpha 90.00
_cell_angle_beta 90.00
_cell_angle_gamma 90.00
_symmetry_space_group_name_H-M 'P 42/m n m'
_symmetry_Int_Tables_number 136
_symmetry_space_group_name_Hall '-P 4n 2n'
loop_
_atom_site_label
_atom_site_type_symbol
_atom_site_fract_x
_atom_site_fract_y
_atom_site_fract_z
_atom_site_occupancy
Ag1 Ag 0.006 0.338 0.000 1
Ag2 Ag 0.162 0.838 0.500 1
Sn1 Sn 0.178 0.178 0.500 1
Hg1 Hg 0.000 0.000 0.000 1



2 | # Ag6Sn2Hg (GGA-PBE, relaxed)
# Fermi-level density of states: 2.63 states/eV/f.u.
data_Ag6Sn2Hg
_cell_length_a 7.058
_cell_length_b 7.171
_cell_length_c 9.892
_cell_angle_alpha 90.00
_cell_angle_beta 131.11
_cell_angle_gamma 90.00
_symmetry_space_group_name_H-M 'P 1 21/c 1'
_symmetry_Int_Tables_number 14
loop_
_symmetry_equiv_pos_as_xyz
'x,y,z'
'-x,-y,-z'
'-x,y+1/2,-z+1/2'
'x,-y+1/2,z+1/2'
loop_
_atom_site_label
_atom_site_type_symbol
_atom_site_fract_x
_atom_site_fract_y
_atom_site_fract_z
_atom_site_occupancy
Ag1 Ag 0.039 0.160 0.299 1
Ag2 Ag 0.196 0.639 0.036 1
Ag3 Ag 0.426 0.641 0.867 1
Sn1 Sn 0.384 0.106 0.826 1
Hg1 Hg 0.000 0.000 0.000 1



If you had to name the least stable structure above, which would it be? It would be 1.